Material: Ba2CdBiO4
Method: DFT, PBE
State: relaxed

Unit cell a=7.0780 b=7.0780 c=8.5998 alpha=117.44 beta=117.44 gamma=91.49
Positions (direct):
Ba: 0.5000 0.0000 0.0000
Ba: 0.5000 0.0000 0.5000
Ba: 0.0000 0.0000 0.5000
Ba: 0.5000 0.5000 0.0000
Cd: 0.0000 0.5000 0.0000
Cd: 0.0000 0.5000 0.5000
Bi: 0.5000 0.5000 0.5000
Bi: 0.0000 0.0000 0.0000
O: 0.2465 0.7710 0.0563
O: 0.7290 0.2535 0.4437
O: 0.2710 0.7465 0.5563
O: 0.7535 0.2290 0.9437
O: 0.8329 0.8006 0.0936
O: 0.6994 0.6671 0.4064
O: 0.3006 0.3329 0.5936
O: 0.1671 0.1994 0.9064

Properties
uncorrected formation energy = -1610 meV/atom
size of the total moment = 0.00 μB per atom
electronic total energy = -5.169 eV per atom

---

Material: Ba2Cd4BiPb3
Method: DFT, PBE
State: relaxed

Unit cell a=5.1370 b=5.1370 c=12.3919 alpha=90.00 beta=90.00 gamma=90.00
Positions (direct):
Ba: 0.5000 0.0000 0.2446
Ba: 0.0000 0.5000 0.7554
Cd: 0.5000 0.5000 0.0000
Cd: 0.0000 0.0000 0.0000
Cd: 0.5000 0.0000 0.6356
Cd: 0.0000 0.5000 0.3644
Bi: 0.5000 0.5000 0.5000
Pb: 0.0000 0.0000 0.5000
Pb: 0.5000 0.0000 0.8687
Pb: 0.0000 0.5000 0.1313

Properties
energy relative to the elements = -335.7 meV per atom
size of the total moment = 0.00 μB per atom
electronic total energy = -2.587 eV per atom

---

Material: BaCdBi2Pb
Method: DFT, PBE
State: relaxed

Unit cell a=5.2331 b=6.9317 c=11.3885 alpha=102.67 beta=90.00 gamma=112.18
Positions (direct):
Ba: 0.3655 0.7311 0.2933
Ba: 0.6345 0.2689 0.7067
Cd: 0.0751 0.1502 0.2841
Cd: 0.9249 0.8498 0.7159
Bi: 0.3214 0.6428 0.6007
Bi: 0.6786 0.3572 0.3993
Bi: 0.1282 0.2564 0.9266
Bi: 0.8718 0.7436 0.0734
Pb: 0.6229 0.2457 0.0939
Pb: 0.3771 0.7543 0.9061

Properties
energy relative to the elements = -308.0 meV per atom
size of the total moment = 0.00 μB per atom
electronic total energy = -3.170 eV per atom

---

Material: Ba2Cd3Bi4Pb
Method: DFT, PBE
State: relaxed

Unit cell a=4.9913 b=4.9913 c=14.1694 alpha=90.00 beta=90.00 gamma=90.00
Positions (direct):
Ba: 0.5000 0.0000 0.2354
Ba: 0.0000 0.5000 0.7646
Cd: 0.0000 0.0000 0.5000
Cd: 0.5000 0.0000 0.8673
Cd: 0.0000 0.5000 0.1327
Bi: 0.5000 0.5000 0.0000
Bi: 0.0000 0.0000 0.0000
Bi: 0.5000 0.0000 0.6586
Bi: 0.0000 0.5000 0.3414
Pb: 0.5000 0.5000 0.5000

Properties
energy relative to the elements = -356.9 meV per atom
size of the total moment = 0.00 μB per atom
electronic total energy = -2.939 eV per atom

---

Material: Ba2CdBi3Pd4
Method: DFT, PBE
State: relaxed

Unit cell a=4.9111 b=4.9111 c=10.9878 alpha=90.00 beta=90.00 gamma=90.00
Positions (direct):
Ba: 0.5000 0.0000 0.2429
Ba: 0.0000 0.5000 0.7571
Cd: 0.5000 0.5000 0.5000
Bi: 0.0000 0.0000 0.5000
Bi: 0.5000 0.0000 0.8762
Bi: 0.0000 0.5000 0.1238
Pd: 0.5000 0.5000 0.0000
Pd: 0.0000 0.0000 0.0000
Pd: 0.5000 0.0000 0.6233
Pd: 0.0000 0.5000 0.3767

Properties
energy relative to the elements = -611.5 meV per atom
size of the total moment = 0.00 μB per atom
electronic total energy = -4.329 eV per atom

---

Material: Ba2CdBiPd6
Method: DFT, PBE
State: relaxed

Unit cell a=5.7588 b=9.2049 c=7.2135 alpha=49.94 beta=66.48 gamma=90.00
Positions (direct):
Ba: 0.7415 0.2798 0.5168
Ba: 0.2585 0.7202 0.4832
Cd: 0.0000 0.0000 0.0000
Bi: 0.5000 0.5000 0.0000
Pd: 0.2470 0.0857 0.5054
Pd: 0.7760 0.7596 0.9675
Pd: 0.2569 0.7599 0.9670
Pd: 0.7431 0.2401 0.0330
Pd: 0.2240 0.2404 0.0325
Pd: 0.7530 0.9143 0.4946

Properties
energy relative to the elements = -446.3 meV per atom
size of the total moment = 0.00 μB per atom
electronic total energy = -4.426 eV per atom

---

Material: Ba2CdBiPd
Method: DFT, PBE
State: relaxed

Unit cell a=6.0618 b=6.0618 c=5.2014 alpha=90.00 beta=90.00 gamma=90.00
Positions (direct):
Cd: 0.0000 0.0000 0.5000
Bi: 0.5000 0.5000 0.5000
Pd: 0.0000 0.0000 0.0000
Ba: 0.0000 0.5000 0.0000
Ba: 0.5000 0.0000 0.0000

Properties
energy relative to the elements = -530.5 meV per atom
size of the total moment = 0.00 μB per atom
electronic total energy = -3.297 eV per atom

---

Material: BaCdBi2Pd
Method: DFT, PBE
State: relaxed

Unit cell a=5.5656 b=5.5656 c=5.2411 alpha=90.00 beta=90.00 gamma=90.00
Positions (direct):
Cd: 0.0000 0.0000 0.5000
Bi: 0.0000 0.5000 0.0000
Bi: 0.5000 0.0000 0.0000
Pd: 0.0000 0.0000 0.0000
Ba: 0.5000 0.5000 0.5000

Properties
energy relative to the elements = -345.0 meV per atom
size of the total moment = 0.00 μB per atom
electronic total energy = -3.504 eV per atom

---

Material: BaCdBiPd3
Method: DFT, PBE
State: relaxed

Unit cell a=6.9281 b=6.7506 c=7.3071 alpha=117.51 beta=90.00 gamma=90.00
Positions (direct):
Ba: 0.7500 0.3076 0.6153
Ba: 0.2500 0.6924 0.3847
Cd: 0.2500 0.9489 0.8978
Cd: 0.7500 0.0511 0.1022
Bi: 0.2500 0.3709 0.7418
Bi: 0.7500 0.6291 0.2582
Pd: 0.2500 0.1593 0.3186
Pd: 0.0000 0.2878 0.0000
Pd: 0.5000 0.7122 0.0000
Pd: 0.5000 0.2878 0.0000
Pd: 0.0000 0.7122 0.0000
Pd: 0.7500 0.8407 0.6814

Properties
energy relative to the elements = -335.0 meV per atom
size of the total moment = 0.00 μB per atom
electronic total energy = -4.051 eV per atom

---

Material: BaCd2BiPd4
Method: DFT, PBE
State: relaxed

Unit cell a=4.6772 b=4.6772 c=10.0820 alpha=76.59 beta=76.59 gamma=60.00
Positions (direct):
Ba: 0.0000 0.0000 0.0000
Cd: 0.7565 0.7565 0.7304
Cd: 0.2435 0.2435 0.2696
Bi: 0.5000 0.5000 0.5000
Pd: 0.4049 0.4049 0.7852
Pd: 0.8800 0.8800 0.3601
Pd: 0.1200 0.1200 0.6399
Pd: 0.5951 0.5951 0.2148

Properties
energy relative to the elements = -351.5 meV per atom
size of the total moment = 0.00 μB per atom
electronic total energy = -3.902 eV per atom

---

Material: BaPmCdBi
Method: DFT, PBE
State: relaxed

Unit cell a=5.7622 b=5.7622 c=5.7622 alpha=60.00 beta=60.00 gamma=60.00
Positions (direct):
Ba: 0.0000 0.0000 0.0000
Cd: 0.7500 0.7500 0.7500
Bi: 0.2500 0.2500 0.2500
Pm: 0.5000 0.5000 0.5000

Properties
energy relative to the elements = -436.4 meV per atom
size of the total moment = 0.00 μB per atom
electronic total energy = -3.304 eV per atom

---

Material: BaPrCdBi
Method: DFT, PBE
State: relaxed

Unit cell a=5.7960 b=5.7960 c=5.7960 alpha=60.00 beta=60.00 gamma=60.00
Positions (direct):
Pr: 0.5000 0.5000 0.5000
Cd: 0.7500 0.7500 0.7500
Bi: 0.2500 0.2500 0.2500
Ba: 0.0000 0.0000 0.0000

Properties
energy relative to the elements = -461.9 meV per atom
size of the total moment = 0.00 μB per atom
electronic total energy = -3.336 eV per atom

---

Material: Ba2CdBiPt
Method: DFT, PBE
State: relaxed

Unit cell a=6.0663 b=6.0663 c=5.2310 alpha=90.00 beta=90.00 gamma=90.00
Positions (direct):
Cd: 0.0000 0.0000 0.5000
Bi: 0.5000 0.5000 0.5000
Pt: 0.0000 0.0000 0.0000
Ba: 0.0000 0.5000 0.0000
Ba: 0.5000 0.0000 0.0000

Properties
energy relative to the elements = -610.1 meV per atom
size of the total moment = 0.00 μB per atom
electronic total energy = -3.547 eV per atom

---

Material: Ba2Cd3BiPt4
Method: DFT, PBE
State: relaxed

Unit cell a=4.9792 b=4.9792 c=10.3937 alpha=90.00 beta=90.00 gamma=90.00
Positions (direct):
Ba: 0.5000 0.0000 0.2275
Ba: 0.0000 0.5000 0.7725
Cd: 0.0000 0.0000 0.5000
Cd: 0.5000 0.0000 0.8796
Cd: 0.0000 0.5000 0.1204
Bi: 0.5000 0.5000 0.5000
Pt: 0.5000 0.5000 0.0000
Pt: 0.0000 0.0000 0.0000
Pt: 0.5000 0.0000 0.6157
Pt: 0.0000 0.5000 0.3843

Properties
energy relative to the elements = -507.0 meV per atom
size of the total moment = 0.00 μB per atom
electronic total energy = -3.971 eV per atom

---

Material: RbBaCd2Bi2
Method: DFT, PBE
State: relaxed

Unit cell a=5.2279 b=5.2279 c=10.0050 alpha=90.00 beta=90.00 gamma=120.00
Positions (direct):
Rb: 0.0000 0.0000 0.0000
Ba: 0.0000 0.0000 0.5000
Cd: 0.3333 0.6667 0.7108
Cd: 0.6667 0.3333 0.2892
Bi: 0.3333 0.6667 0.2691
Bi: 0.6667 0.3333 0.7309

Properties
energy relative to the elements = -443.5 meV per atom
size of the total moment = 0.00 μB per atom
electronic total energy = -2.524 eV per atom

---

Material: BaCd2BiRh
Method: DFT, PBE
State: relaxed

Unit cell a=5.2684 b=5.2684 c=5.3423 alpha=90.00 beta=90.00 gamma=90.00
Positions (direct):
Cd: 0.0000 0.5000 0.0000
Cd: 0.5000 0.0000 0.0000
Rh: 0.0000 0.0000 0.0000
Bi: 0.0000 0.0000 0.5000
Ba: 0.5000 0.5000 0.5000

Properties
energy relative to the elements = -307.5 meV per atom
size of the total moment = 0.00 μB per atom
electronic total energy = -3.305 eV per atom

---

Material: Ba2CdBi4Rh3
Method: DFT, PBE
State: relaxed

Unit cell a=4.9066 b=4.9066 c=11.2579 alpha=90.00 beta=90.00 gamma=90.00
Positions (direct):
Ba: 0.5000 0.0000 0.2499
Ba: 0.0000 0.5000 0.7501
Cd: 0.5000 0.5000 0.5000
Bi: 0.5000 0.5000 0.0000
Bi: 0.0000 0.0000 0.0000
Bi: 0.5000 0.0000 0.6413
Bi: 0.0000 0.5000 0.3587
Rh: 0.0000 0.0000 0.5000
Rh: 0.5000 0.0000 0.8842
Rh: 0.0000 0.5000 0.1158

Properties
energy relative to the elements = -416.1 meV per atom
size of the total moment = 0.00 μB per atom
electronic total energy = -4.650 eV per atom

---

Material: BaSc2CdBi
Method: DFT, PBE
State: relaxed

Unit cell a=5.4770 b=5.8170 c=5.4770 alpha=90.00 beta=90.00 gamma=90.00
Positions (direct):
Sc: 0.0000 0.0000 0.5000
Sc: 0.5000 0.0000 0.0000
Cd: 0.0000 0.5000 0.0000
Bi: 0.5000 0.5000 0.5000
Ba: 0.0000 0.0000 0.0000

Properties
energy relative to the elements = 1149.6 meV per atom
size of the total moment = 0.00 μB per atom
electronic total energy = -2.727 eV per atom

---

Material: Ba2Cd4Sn3Bi
Method: DFT, PBE
State: relaxed

Unit cell a=5.0666 b=5.0666 c=12.0938 alpha=90.00 beta=90.00 gamma=90.00
Positions (direct):
Ba: 0.5000 0.0000 0.2437
Ba: 0.0000 0.5000 0.7563
Cd: 0.5000 0.5000 0.0000
Cd: 0.0000 0.0000 0.0000
Cd: 0.5000 0.0000 0.6376
Cd: 0.0000 0.5000 0.3624
Sn: 0.0000 0.0000 0.5000
Sn: 0.5000 0.0000 0.8702
Sn: 0.0000 0.5000 0.1298
Bi: 0.5000 0.5000 0.5000

Properties
energy relative to the elements = -408.1 meV per atom
size of the total moment = 0.00 μB per atom
electronic total energy = -2.748 eV per atom

---

Material: Ba2CdBiTe5
Method: DFT, PBE
State: relaxed

Unit cell a=4.7502 b=10.8449 c=13.4804 alpha=90.00 beta=90.00 gamma=102.65
Positions (direct):
Ba: 0.8773 0.7546 0.8061
Ba: 0.1005 0.2010 0.6819
Ba: 0.1227 0.2454 0.3061
Ba: 0.8995 0.7990 0.1819
Cd: 0.5687 0.1374 0.9418
Cd: 0.4313 0.8626 0.4418
Bi: 0.7758 0.5516 0.5245
Bi: 0.2242 0.4484 0.0245
Te: 0.3644 0.7289 0.9992
Te: 0.7079 0.4159 0.8648
Te: 0.4957 0.9914 0.7679
Te: 0.2677 0.5354 0.6841
Te: 0.9392 0.8785 0.5538
Te: 0.6356 0.2711 0.4992
Te: 0.2921 0.5841 0.3648
Te: 0.5043 0.0086 0.2679
Te: 0.7323 0.4646 0.1841
Te: 0.0608 0.1215 0.0538

Properties
uncorrected formation energy = -900 meV/atom
size of the total moment = 0.00 μB per atom
electronic total energy = -3.606 eV per atom